# Li2MnP2O7 PBE+U optimized geometry
# Fermi-level density of states: 0.0 states/eV/cell
# Excess energy over the best structure of this formula in the dataset: 37 meV per atom
# Density: 2.87 g cm⁻³
# Calculated total energy: -6.963 eV/atom
# Magnetization: 20.00 μB per cell
data_Li2MnP2O7
_chemical_formula_sum 'Li8 Mn4 P8 O28'
_cell_length_a 12.723
_cell_length_b 7.592
_cell_length_c 5.809
_cell_angle_alpha 90.00
_cell_angle_beta 90.00
_cell_angle_gamma 90.00
_space_group_name_H-M_alt 'C m c m'
_space_group_IT_number 63
_space_group_name_Hall '-C 2c 2'
loop_
_atom_site_label
_atom_site_type_symbol
_atom_site_fract_x
_atom_site_fract_y
_atom_site_fract_z
_atom_site_occupancy
Li1 Li 0.208 0.000 0.000 1
Mn1 Mn 0.000 0.253 0.250 1
P1 P 0.114 0.317 0.750 1
O1 O 0.000 0.429 0.750 1
O2 O 0.111 0.205 0.529 1
O3 O 0.197 0.458 0.750 1